1.
A geometry-optimized NaSc2Au3 structure. Source: Alexandria, functional PBE.

It has space group P4/mmm (No. 123), with a = 3.386 Å, b = 3.386 Å, c = 10.801 Å, α = 90.00°, β = 90.00° and γ = 90.00°. The inequivalent atoms are Na at (0.000, 0.000, 0.000), Sc at (0.000, 0.000, 0.338), Au at (0.500, 0.500, 0.196) and Au at (0.500, 0.500, 0.500).

The density of states at the Fermi level is 4.424 states/eV per cell. For the formation energy from the elements, the calculation gives -0.64 eV per atom.

=====

2.
A geometry-optimized NaSc4Au5 structure. Source: Alexandria, functional PBE.

It has space group P4/mmm (No. 123), with a = 3.400 Å, b = 3.400 Å, c = 17.545 Å, α = 90.00°, β = 90.00° and γ = 90.00°. The inequivalent atoms are Na at (0.000, 0.000, 0.000), Sc at (0.000, 0.000, 0.207), Sc at (0.000, 0.000, 0.403), Au at (0.500, 0.500, 0.120), Au at (0.500, 0.500, 0.308) and Au at (0.500, 0.500, 0.500).

The density of states at the Fermi level is 5.291 states/eV per cell. For the formation energy from the elements, the calculation gives -0.71 eV per atom.

=====

3.
A geometry-optimized Na2ScAu2 structure. Source: Alexandria, functional PBE.

It has space group I4/mmm (No. 139), with a = 5.036 Å, b = 5.036 Å, c = 8.716 Å, α = 90.00°, β = 90.00° and γ = 90.00°. The inequivalent atoms are Na at (0.000, 0.000, 0.133), Sc at (0.000, 0.000, 0.500) and Au at (0.000, 0.500, 0.250).

The density of states at the Fermi level is 8.271 states/eV per cell. For the formation energy from the elements, the calculation gives 0.05 eV per atom.

=====

4.
A geometry-optimized NaSc3Au structure. Source: Alexandria, functional PBE.

It has space group Pm-3m (No. 221), with a = 5.293 Å, b = 5.293 Å, c = 5.293 Å, α = 90.00°, β = 90.00° and γ = 90.00°. The inequivalent atoms are Na at (0.000, 0.000, 0.000), Sc at (0.000, 0.500, 0.500) and Au at (0.500, 0.500, 0.500).

The density of states at the Fermi level is 8.254 states/eV per cell. For the formation energy from the elements, the calculation gives 0.10 eV per atom.

=====

5.
A geometry-optimized Na2ScAu2 structure. Source: Alexandria, functional PBE.

It has space group P4/mbm (No. 127), with a = 8.177 Å, b = 8.177 Å, c = 3.109 Å, α = 90.00°, β = 90.00° and γ = 90.00°. The inequivalent atoms are Na at (0.113, 0.387, 0.000), Sc at (0.000, 0.000, 0.000) and Au at (0.189, 0.689, 0.500).

The density of states at the Fermi level is 6.014 states/eV per cell. For the formation energy from the elements, the calculation gives -0.15 eV per atom.

=====

6.
A geometry-optimized Na3ScAu structure. Source: Alexandria, functional PBE.

It has space group Pm-3m (No. 221), with a = 6.150 Å, b = 6.150 Å, c = 6.150 Å, α = 90.00°, β = 90.00° and γ = 90.00°. The inequivalent atoms are Na at (0.000, 0.000, 0.500), Sc at (0.000, 0.000, 0.000) and Au at (0.500, 0.500, 0.500).

The density of states at the Fermi level is 6.357 states/eV per cell. For the formation energy from the elements, the calculation gives 0.99 eV per atom.

=====

7.
A geometry-optimized NaSc3Au structure. Source: Alexandria, functional PBE.

It has space group Pm-3m (No. 221), with a = 5.065 Å, b = 5.065 Å, c = 5.065 Å, α = 90.00°, β = 90.00° and γ = 90.00°. The inequivalent atoms are Na at (0.000, 0.000, 0.000), Sc at (0.000, 0.000, 0.500) and Au at (0.500, 0.500, 0.500).

The density of states at the Fermi level is 6.308 states/eV per cell. For the formation energy from the elements, the calculation gives 0.99 eV per atom.

=====

8.
A geometry-optimized NaScSiAu2 structure. Source: Alexandria, functional PBE.

It has space group P4/mmm (No. 123), with a = 4.754 Å, b = 4.754 Å, c = 4.911 Å, α = 90.00°, β = 90.00° and γ = 90.00°. The inequivalent atoms are Na at (0.000, 0.000, 0.000), Sc at (0.500, 0.500, 0.000), Si at (0.000, 0.000, 0.500) and Au at (0.000, 0.500, 0.500).

As for the uncorrected formation energy: 0.145 eV/atom. The density of states at the Fermi level is 3.233 states/eV per cell.

=====

9.
A geometry-optimized NaSrSc2Au structure. Source: Alexandria, functional PBE.

It has space group P4/mmm (No. 123), with a = 5.241 Å, b = 5.241 Å, c = 5.165 Å, α = 90.00°, β = 90.00° and γ = 90.00°. The inequivalent atoms are Na at (0.000, 0.000, 0.000), Sr at (0.000, 0.000, 0.500), Sc at (0.000, 0.500, 0.500) and Au at (0.500, 0.500, 0.000).

The density of states at the Fermi level is 5.746 states/eV per cell. For the formation energy from the elements, the calculation gives 1.34 eV per atom.

=====

10.
A geometry-optimized NaScTcAu2 structure. Source: Alexandria, functional PBE.

It has space group P4/mmm (No. 123), with a = 5.238 Å, b = 5.238 Å, c = 4.686 Å, α = 90.00°, β = 90.00° and γ = 90.00°. The inequivalent atoms are Na at (0.000, 0.000, 0.000), Sc at (0.500, 0.500, 0.500), Tc at (0.500, 0.500, 0.000) and Au at (0.000, 0.500, 0.500).

The density of states at the Fermi level is 3.309 states/eV per cell. For the formation energy from the elements, the calculation gives 0.64 eV per atom.

=====

11.
A geometry-optimized NaScTe2Au structure. Source: Alexandria, functional PBE.

It has space group P2/c (No. 13), with a = 7.642 Å, b = 4.818 Å, c = 7.774 Å, α = 90.00°, β = 96.78° and γ = 90.00°. The inequivalent atoms are Na at (0.000, 0.108, 0.250), Sc at (0.500, 0.498, 0.750), Te at (0.226, 0.354, 0.971) and Au at (0.500, 0.000, 0.000).

As for the uncorrected formation energy: -0.734 eV/atom. The density of states at the Fermi level is 6.172 states/eV per cell.

=====

12.
A geometry-optimized NaScTlAu structure. Source: Alexandria, functional PBE.

It has space group F-43m (No. 216), with a = 7.033 Å, b = 7.033 Å, c = 7.033 Å, α = 90.00°, β = 90.00° and γ = 90.00°. The inequivalent atoms are Na at (0.000, 0.000, 0.000), Sc at (0.000, 0.000, 0.500), Tl at (0.250, 0.250, 0.250) and Au at (0.250, 0.250, 0.750).

The density of states at the Fermi level is 8.606 states/eV per cell. For the formation energy from the elements, the calculation gives -0.29 eV per atom.

=====

13.
A geometry-optimized NaSc2WAu structure. Source: Alexandria, functional PBE.

It has space group P4/mmm (No. 123), with a = 5.225 Å, b = 5.225 Å, c = 5.033 Å, α = 90.00°, β = 90.00° and γ = 90.00°. The inequivalent atoms are Na at (0.000, 0.000, 0.000), Sc at (0.000, 0.500, 0.500), W at (0.500, 0.500, 0.000) and Au at (0.500, 0.500, 0.500).

The density of states at the Fermi level is 6.695 states/eV per cell. For the formation energy from the elements, the calculation gives 0.88 eV per atom.

=====

14.
A geometry-optimized NaScZnAu structure. Source: Alexandria, functional PBE.

It has space group F-43m (No. 216), with a = 6.795 Å, b = 6.795 Å, c = 6.795 Å, α = 90.00°, β = 90.00° and γ = 90.00°. The inequivalent atoms are Na at (0.000, 0.000, 0.000), Sc at (0.000, 0.000, 0.500), Zn at (0.250, 0.250, 0.750) and Au at (0.250, 0.250, 0.250).

The density of states at the Fermi level is 16.224 states/eV per cell. For the formation energy from the elements, the calculation gives -0.26 eV per atom.

=====

15.
A geometry-optimized Na3AuSe4 structure. Source: Alexandria, functional PBE.

It has space group Pmn2_1 (No. 31), with a = 8.324 Å, b = 8.594 Å, c = 6.568 Å, α = 90.00°, β = 90.00° and γ = 90.00°. The inequivalent atoms are Na at (0.000, 0.020, 0.000), Na at (0.234, 0.450, 0.916), Au at (0.000, 0.127, 0.522), Se at (0.000, 0.401, 0.608), Se at (0.000, 0.840, 0.510) and Se at (0.233, 0.799, 0.736).

As for the uncorrected formation energy: -0.580 eV/atom.

=====

16.
A geometry-optimized NaAu2Se2 structure. Source: Alexandria, functional PBE.

It has space group C2/m (No. 12), with a = 7.479 Å, b = 6.041 Å, c = 6.773 Å, α = 90.00°, β = 121.60° and γ = 90.00°. The inequivalent atoms are Na at (0.000, 0.000, 0.000), Au at (0.250, 0.250, 0.500) and Se at (0.220, 0.500, 0.196).

As for the uncorrected formation energy: -0.317 eV/atom. The density of states at the Fermi level is 3.787 states/eV per cell.

=====

17.
A geometry-optimized Na3AuSe structure. Source: Alexandria, functional PBE.

It has space group Pm-3m (No. 221), with a = 5.448 Å, b = 5.448 Å, c = 5.448 Å, α = 90.00°, β = 90.00° and γ = 90.00°. The inequivalent atoms are Na at (0.000, 0.000, 0.500), Au at (0.500, 0.500, 0.500) and Se at (0.000, 0.000, 0.000).

As for the uncorrected formation energy: -0.573 eV/atom. The density of states at the Fermi level is 0.000 states/eV per cell.

=====

18.
A geometry-optimized Na5AuSe8 structure. Source: Alexandria, functional PBE.

It has space group I-4 (No. 82), with a = 9.258 Å, b = 9.258 Å, c = 9.063 Å, α = 90.00°, β = 90.00° and γ = 90.00°. The inequivalent atoms are Na at (0.000, 0.000, 0.000), Na at (0.188, 0.197, 0.585), Au at (0.000, 0.500, 0.750), Se at (0.002, 0.368, 0.006) and Se at (0.085, 0.098, 0.282).

As for the uncorrected formation energy: -0.460 eV/atom. The density of states at the Fermi level is 12.361 states/eV per cell.

=====

19.
A geometry-optimized Na2AuSe2 structure. Source: Alexandria, functional PBE.

It has space group P4/mbm (No. 127), with a = 7.247 Å, b = 7.247 Å, c = 4.382 Å, α = 90.00°, β = 90.00° and γ = 90.00°. The inequivalent atoms are Na at (0.149, 0.351, 0.000), Au at (0.000, 0.000, 0.500) and Se at (0.165, 0.665, 0.500).

As for the uncorrected formation energy: -0.619 eV/atom. The density of states at the Fermi level is 2.954 states/eV per cell.

=====

20.
A geometry-optimized NaAuSe structure. Source: Alexandria, functional PBE.

It has space group C2/m (No. 12), with a = 11.234 Å, b = 4.631 Å, c = 5.966 Å, α = 90.00°, β = 94.83° and γ = 90.00°. The inequivalent atoms are Na at (0.126, 0.000, 0.271), Au at (0.089, 0.500, 0.696) and Se at (0.156, 0.000, 0.781).

As for the uncorrected formation energy: -0.534 eV/atom.

=====

21.
A geometry-optimized Na4AuSe3 structure. Source: Alexandria, functional PBE.

It has space group Cc (No. 9), with a = 12.052 Å, b = 8.146 Å, c = 8.984 Å, α = 90.00°, β = 112.59° and γ = 90.00°. The inequivalent atoms are Na at (0.000, 0.078, 0.000), Na at (0.009, 0.282, 0.333), Na at (0.167, 0.375, 0.821), Na at (0.322, 0.127, 0.173), Au at (0.289, 0.217, 0.505), Se at (0.159, 0.010, 0.835), Se at (0.312, 0.486, 0.644) and Se at (0.498, 0.060, 0.529).

As for the uncorrected formation energy: -0.775 eV/atom. The density of states at the Fermi level is 7.685 states/eV per cell.

=====

22.
A geometry-optimized NaAu2Se2 structure. Source: Alexandria, functional PBE.

It has space group C2/c (No. 15), with a = 10.055 Å, b = 9.654 Å, c = 6.314 Å, α = 90.00°, β = 121.99° and γ = 90.00°. The inequivalent atoms are Na at (0.000, 0.207, 0.250), Au at (0.000, 0.500, 0.000), Au at (0.250, 0.250, 0.000) and Se at (0.214, 0.027, 0.786).

As for the uncorrected formation energy: -0.295 eV/atom. The density of states at the Fermi level is 3.806 states/eV per cell.

=====

23.
A geometry-optimized NaAu2Se2 structure. Source: Alexandria, functional PBE.

It has space group P4/mbm (No. 127), with a = 7.674 Å, b = 7.674 Å, c = 3.595 Å, α = 90.00°, β = 90.00° and γ = 90.00°. The inequivalent atoms are Na at (0.000, 0.000, 0.000), Au at (0.127, 0.373, 0.000) and Se at (0.190, 0.690, 0.500).

As for the uncorrected formation energy: -0.142 eV/atom. The density of states at the Fermi level is 6.419 states/eV per cell.

=====

24.
A geometry-optimized NaAu2Se2 structure. Source: Alexandria, functional PBE.

It has space group P4/mbm (No. 127), with a = 7.730 Å, b = 7.730 Å, c = 3.578 Å, α = 90.00°, β = 90.00° and γ = 90.00°. The inequivalent atoms are Na at (0.000, 0.000, 0.000), Au at (0.131, 0.369, 0.500) and Se at (0.183, 0.683, 0.000).

As for the uncorrected formation energy: -0.126 eV/atom. The density of states at the Fermi level is 6.158 states/eV per cell.

=====

25.
A geometry-optimized NaAuSe structure. Source: Alexandria, functional PBE.

It has space group P-6m2 (No. 187), with a = 4.4509 Å, b = 4.4509 Å, c = 4.2691 Å, α = 90.00°, β = 90.00° and γ = 120.00°. The inequivalent atoms are Na at (0.0000, 0.0000, 0.0000), Au at (0.6667, 0.3333, 0.5000) and Se at (0.3333, 0.6667, 0.5000).

As for the uncorrected formation energy: -0.550 eV/atom. The density of states at the Fermi level is 0.215 states/eV per cell.

=====

| no. | total magnetic moment (μB/f.u.) |
| --- | --- |
| 1 | 0.00 |
| 2 | 0.00 |
| 3 | 0.00 |
| 4 | 0.00 |
| 5 | 0.00 |
| 6 | 2.01 |
| 7 | 3.09 |
| 8 | 0.00 |
| 9 | 0.00 |
| 10 | 1.95 |
| 11 | 0.00 |
| 12 | 0.00 |
| 13 | 1.38 |
| 14 | 0.00 |
| 15 | 0.00 |
| 16 | 0.00 |
| 17 | 0.00 |
| 18 | 0.00 |
| 19 | 0.00 |
| 20 | 0.00 |
| 21 | 0.00 |
| 22 | 0.00 |
| 23 | 0.00 |
| 24 | 0.00 |
| 25 | 0.00 |